--- A ---
Pr2Er3Tm3 | PBE-GGA | relaxed

a = 6.5219 Å, b = 6.5219 Å, c = 15.8947 Å
α = 90.00°, β = 90.00°, γ = 129.54°
Fractional positions:
Pr (0.2188, 0.7812, 0.6272)
Pr (0.2188, 0.7812, 0.8728)
Pr (0.7812, 0.2188, 0.1272)
Pr (0.7812, 0.2188, 0.3728)
Er (0.3861, 0.6139, 0.0519)
Er (0.3861, 0.6139, 0.4481)
Er (0.4588, 0.5412, 0.7500)
Er (0.5412, 0.4588, 0.2500)
Er (0.6139, 0.3861, 0.5519)
Er (0.6139, 0.3861, 0.9481)
Tm (0.0821, 0.9179, 0.0872)
Tm (0.0821, 0.9179, 0.4128)
Tm (0.2594, 0.7406, 0.2500)
Tm (0.7406, 0.2594, 0.7500)
Tm (0.9179, 0.0821, 0.5872)
Tm (0.9179, 0.0821, 0.9128)

Computed properties:
**Calculated volume**: 32.6 Å³ per atom

--- B ---
Pr2Er3Tm3 | PBE-GGA | relaxed

a = 6.3718 Å, b = 6.3718 Å, c = 6.3718 Å
α = 90.00°, β = 90.00°, γ = 90.00°
Fractional positions:
Pr (0.2502, 0.2502, 0.2502)
Pr (0.7498, 0.7498, 0.7498)
Er (0.2491, 0.7509, 0.5000)
Er (0.5000, 0.2491, 0.7509)
Er (0.7509, 0.5000, 0.2491)
Tm (0.0000, 0.2491, 0.7509)
Tm (0.2491, 0.7509, 0.0000)
Tm (0.7509, 0.0000, 0.2491)

Computed properties:
**Calculated volume**: 32.3 Å³ per atom

Going by the energies, A is most stable and the next is 80 meV per atom up.

--- A ---
Pr4ErTm5 | PBE-GGA | relaxed

a = 3.5119 Å, b = 8.7024 Å, c = 11.3418 Å
α = 89.96°, β = 90.00°, γ = 78.42°
Fractional positions:
Pr (0.0335, 0.4326, 0.2498)
Pr (0.3402, 0.8220, 0.2502)
Pr (0.6598, 0.1780, 0.7498)
Pr (0.9665, 0.5674, 0.7502)
Er (0.5000, 0.5000, 0.5000)
Tm (0.1720, 0.1552, 0.0450)
Tm (0.1723, 0.1547, 0.4544)
Tm (0.5000, 0.5000, 0.0000)
Tm (0.8277, 0.8453, 0.5456)
Tm (0.8280, 0.8448, 0.9550)

Computed properties:
**Calculated volume**: 34.0 Å³ per atom

--- B ---
Pr4ErTm5 | PBE-GGA | relaxed

a = 3.5975 Å, b = 3.5975 Å, c = 25.0480 Å
α = 90.00°, β = 90.00°, γ = 90.00°
Fractional positions:
Pr (0.0000, 0.0000, 0.1008)
Pr (0.0000, 0.0000, 0.3023)
Pr (0.0000, 0.0000, 0.6977)
Pr (0.0000, 0.0000, 0.8992)
Er (0.0000, 0.0000, 0.5000)
Tm (0.5000, 0.5000, 0.0000)
Tm (0.5000, 0.5000, 0.2019)
Tm (0.5000, 0.5000, 0.4042)
Tm (0.5000, 0.5000, 0.5958)
Tm (0.5000, 0.5000, 0.7981)

Computed properties:
**Calculated volume**: 32.4 Å³ per atom

Going by the energies, B is most stable and the next is 170 meV per atom up.

--- A ---
Pr2Er4Tm5 | PBE-GGA | relaxed

a = 10.9083 Å, b = 10.9083 Å, c = 10.9083 Å
α = 161.76°, β = 116.85°, γ = 66.33°
Fractional positions:
Pr (0.2033, 0.2033, 0.0000)
Pr (0.7967, 0.7967, 0.0000)
Er (0.2759, 0.0000, 0.2759)
Er (0.4098, 0.4098, 0.0000)
Er (0.5902, 0.5902, 0.0000)
Er (0.7240, 0.0000, 0.7240)
Tm (0.0000, 0.5000, 0.5000)
Tm (0.1120, 0.8219, 0.2901)
Tm (0.4683, 0.1781, 0.2901)
Tm (0.5317, 0.8219, 0.7099)
Tm (0.8880, 0.1781, 0.7099)

Computed properties:
**Calculated volume**: 32.8 Å³ per atom

--- B ---
Pr2Er4Tm5 | PBE-GGA | relaxed

a = 3.5377 Å, b = 8.6555 Å, c = 11.7160 Å
α = 75.76°, β = 81.37°, γ = 89.92°
Fractional positions:
Pr (0.0913, 0.2282, 0.3172)
Pr (0.9087, 0.7718, 0.6828)
Er (0.1831, 0.9534, 0.1354)
Er (0.4522, 0.1405, 0.5938)
Er (0.5478, 0.8595, 0.4062)
Er (0.8169, 0.0466, 0.8646)
Tm (0.0000, 0.5000, 0.5000)
Tm (0.2719, 0.6815, 0.9570)
Tm (0.3632, 0.4070, 0.7738)
Tm (0.6368, 0.5930, 0.2262)
Tm (0.7281, 0.3185, 0.0430)

Computed properties:
**Calculated volume**: 31.2 Å³ per atom

Going by the energies, B is most stable and the next is 184 meV per atom up.

--- A ---
Pr4Er4Tm | PBE-GGA | relaxed

a = 8.0524 Å, b = 8.0524 Å, c = 8.0524 Å
α = 95.67°, β = 95.67°, γ = 143.37°
Fractional positions:
Pr (0.1664, 0.1664, 0.3328)
Pr (0.1664, 0.8336, 0.0000)
Pr (0.8336, 0.1664, 0.0000)
Pr (0.8336, 0.8336, 0.6672)
Er (0.1644, 0.5000, 0.6644)
Er (0.5000, 0.1644, 0.6644)
Er (0.5000, 0.8356, 0.3356)
Er (0.8356, 0.5000, 0.3356)
Tm (0.5000, 0.5000, 0.0000)

Computed properties:
**Calculated volume**: 32.9 Å³ per atom

--- B ---
Pr4Er4Tm | PBE-GGA | relaxed

a = 5.6355 Å, b = 6.8090 Å, c = 8.9588 Å
α = 112.30°, β = 108.22°, γ = 90.02°
Fractional positions:
Pr (0.1328, 0.4560, 0.2653)
Pr (0.2801, 0.2143, 0.5600)
Pr (0.7199, 0.7857, 0.4400)
Pr (0.8672, 0.5440, 0.7347)
Er (0.0705, 0.8712, 0.1405)
Er (0.3812, 0.8354, 0.7627)
Er (0.6188, 0.1646, 0.2373)
Er (0.9295, 0.1288, 0.8595)
Tm (0.5000, 0.5000, 0.0000)

Computed properties:
**Calculated volume**: 33.3 Å³ per atom

Going by the energies, A is most stable and the next is 86 meV per atom up.

--- A ---
Pr7Er3Tm | PBE-GGA | relaxed

a = 8.6064 Å, b = 8.6064 Å, c = 5.9358 Å
α = 110.12°, β = 110.12°, γ = 83.54°
Fractional positions:
Pr (0.0000, 0.0000, 0.0000)
Pr (0.0972, 0.5218, 0.3097)
Pr (0.2913, 0.2913, 0.7930)
Pr (0.4782, 0.9028, 0.6903)
Pr (0.5218, 0.0972, 0.3097)
Pr (0.7087, 0.7087, 0.2070)
Pr (0.9028, 0.4782, 0.6903)
Er (0.2951, 0.7049, 0.0000)
Er (0.5000, 0.5000, 0.5000)
Er (0.7049, 0.2951, 0.0000)
Tm (0.0000, 0.0000, 0.5000)

Computed properties:
**Calculated volume**: 35.2 Å³ per atom

--- B ---
Pr7Er3Tm | PBE-GGA | relaxed

a = 7.1900 Å, b = 10.3516 Å, c = 12.5433 Å
α = 66.79°, β = 73.43°, γ = 69.72°
Fractional positions:
Pr (0.0000, 0.0000, 0.0000)
Pr (0.0010, 0.4997, 0.4951)
Pr (0.1171, 0.9428, 0.7227)
Pr (0.2577, 0.7347, 0.2444)
Pr (0.2679, 0.2350, 0.7441)
Pr (0.3309, 0.3860, 0.9499)
Pr (0.3346, 0.8855, 0.4451)
Pr (0.5058, 0.5000, 0.4999)
Pr (0.5099, 0.9995, 0.9947)
Pr (0.5735, 0.1502, 0.2003)
Pr (0.5828, 0.6515, 0.7006)
Pr (0.7230, 0.4427, 0.2224)
Pr (0.8393, 0.8860, 0.4496)
Pr (0.8409, 0.3856, 0.9448)
Er (0.0899, 0.1209, 0.1994)
Er (0.0975, 0.6208, 0.6993)
Er (0.4196, 0.1930, 0.4721)
Er (0.4200, 0.6925, 0.9728)
Er (0.7432, 0.7647, 0.2454)
Er (0.7509, 0.2650, 0.7455)
Tm (0.9195, 0.1927, 0.4727)
Tm (0.9202, 0.6926, 0.9724)

Computed properties:
**Calculated volume**: 36.0 Å³ per atom

Going by the energies, B is most stable and the next is 37 meV per atom up.

--- A ---
Pr5Er3Tm | PBE-GGA | relaxed

a = 9.7255 Å, b = 9.7255 Å, c = 9.7255 Å
α = 122.22°, β = 122.22°, γ = 86.20°
Fractional positions:
Pr (0.0000, 0.0000, 0.0000)
Pr (0.0678, 0.5678, 0.9010)
Pr (0.1668, 0.0678, 0.5000)
Pr (0.3332, 0.8332, 0.9010)
Pr (0.4322, 0.3332, 0.5000)
Pr (0.5000, 0.5000, 0.0000)
Pr (0.5678, 0.6668, 0.5000)
Pr (0.6668, 0.1668, 0.0990)
Pr (0.8332, 0.9322, 0.5000)
Pr (0.9322, 0.4322, 0.0990)
Er (0.1090, 0.3910, 0.5000)
Er (0.2500, 0.2500, 0.0000)
Er (0.3910, 0.8910, 0.2820)
Er (0.6090, 0.1090, 0.7180)
Er (0.7500, 0.7500, 0.0000)
Er (0.8910, 0.6090, 0.5000)
Tm (0.2500, 0.7500, 0.5000)
Tm (0.7500, 0.2500, 0.5000)

Computed properties:
**Calculated volume**: 34.8 Å³ per atom

--- B ---
Pr5Er3Tm | PBE-GGA | relaxed

a = 10.0282 Å, b = 10.0282 Å, c = 11.6247 Å
α = 115.47°, β = 115.47°, γ = 37.82°
Fractional positions:
Pr (0.0252, 0.6530, 0.2904)
Pr (0.1044, 0.8956, 0.7500)
Pr (0.1526, 0.4972, 0.6444)
Pr (0.3470, 0.9748, 0.2096)
Pr (0.4972, 0.1526, 0.1444)
Pr (0.5028, 0.8474, 0.8556)
Pr (0.6530, 0.0252, 0.7904)
Pr (0.8474, 0.5028, 0.3556)
Pr (0.8956, 0.1044, 0.2500)
Pr (0.9748, 0.3470, 0.7096)
Er (0.0533, 0.6261, 0.9872)
Er (0.3739, 0.9467, 0.5128)
Er (0.5000, 0.5000, 0.0000)
Er (0.5000, 0.5000, 0.5000)
Er (0.6261, 0.0533, 0.4872)
Er (0.9467, 0.3739, 0.0128)
Tm (0.3773, 0.6227, 0.2500)
Tm (0.6227, 0.3773, 0.7500)

Computed properties:
**Calculated volume**: 35.5 Å³ per atom

Going by the energies, B is most stable and the next is 50 meV per atom up.

--- A ---
Pr3Er8Tm2 | PBE-GGA | relaxed

a = 10.6677 Å, b = 10.6677 Å, c = 5.6155 Å
α = 90.05°, β = 90.05°, γ = 42.45°
Fractional positions:
Pr (0.0000, 0.0000, 0.0000)
Pr (0.2938, 0.7062, 0.5000)
Pr (0.7062, 0.2938, 0.5000)
Er (0.1364, 0.1364, 0.4993)
Er (0.1811, 0.5974, 0.9999)
Er (0.3267, 0.3267, 0.4990)
Er (0.4026, 0.8189, 0.0001)
Er (0.5974, 0.1811, 0.9999)
Er (0.6733, 0.6733, 0.5010)
Er (0.8189, 0.4026, 0.0001)
Er (0.8636, 0.8636, 0.5007)
Tm (0.2408, 0.2408, 0.9987)
Tm (0.7592, 0.7592, 0.0013)

Computed properties:
**Calculated volume**: 33.2 Å³ per atom

--- B ---
Pr3Er8Tm2 | PBE-GGA | relaxed

a = 8.9247 Å, b = 8.9247 Å, c = 11.9832 Å
α = 110.66°, β = 110.66°, γ = 84.35°
Fractional positions:
Pr (0.0000, 0.0000, 0.0000)
Pr (0.0000, 0.0000, 0.5000)
Pr (0.1311, 0.8689, 0.7500)
Pr (0.4488, 0.5512, 0.2500)
Pr (0.5512, 0.4488, 0.7500)
Pr (0.8689, 0.1311, 0.2500)
Er (0.0776, 0.6930, 0.2744)
Er (0.0979, 0.3526, 0.0319)
Er (0.1449, 0.4444, 0.6090)
Er (0.2166, 0.3294, 0.3257)
Er (0.3070, 0.9224, 0.2256)
Er (0.3294, 0.2166, 0.8257)
Er (0.3526, 0.0979, 0.5319)
Er (0.4444, 0.1449, 0.1090)
Er (0.5556, 0.8551, 0.8910)
Er (0.6474, 0.9021, 0.4681)
Er (0.6706, 0.7834, 0.1743)
Er (0.6930, 0.0776, 0.7744)
Er (0.7834, 0.6706, 0.6743)
Er (0.8551, 0.5556, 0.3910)
Er (0.9021, 0.6474, 0.9681)
Er (0.9224, 0.3070, 0.7256)
Tm (0.2919, 0.6150, 0.9479)
Tm (0.3850, 0.7081, 0.5521)
Tm (0.6150, 0.2919, 0.4479)
Tm (0.7081, 0.3850, 0.0521)

Computed properties:
**Calculated volume**: 32.1 Å³ per atom

Going by the energies, B is most stable and the next is 109 meV per atom up.

--- A ---
PrEr3Tm3 | PBE-GGA | relaxed

a = 8.7448 Å, b = 8.7448 Å, c = 8.7448 Å
α = 58.49°, β = 58.49°, γ = 58.49°
Fractional positions:
Pr (0.1502, 0.1502, 0.1502)
Pr (0.8498, 0.8498, 0.8498)
Er (0.0707, 0.5629, 0.2298)
Er (0.2298, 0.0707, 0.5629)
Er (0.4371, 0.7702, 0.9293)
Er (0.5629, 0.2297, 0.0707)
Er (0.7703, 0.9293, 0.4371)
Er (0.9293, 0.4371, 0.7703)
Tm (0.2153, 0.6718, 0.4348)
Tm (0.3282, 0.5652, 0.7847)
Tm (0.4348, 0.2153, 0.6718)
Tm (0.5652, 0.7847, 0.3282)
Tm (0.6718, 0.4348, 0.2153)
Tm (0.7847, 0.3282, 0.5652)

Computed properties:
**Calculated volume**: 32.6 Å³ per atom

--- B ---
PrEr3Tm3 | PBE-GGA | relaxed

a = 6.5923 Å, b = 6.5923 Å, c = 6.5923 Å
α = 108.24°, β = 108.24°, γ = 108.24°
Fractional positions:
Pr (0.0000, 0.0000, 0.0000)
Er (0.5781, 0.5781, 0.9935)
Er (0.5781, 0.9935, 0.5781)
Er (0.9935, 0.5781, 0.5781)
Tm (0.0866, 0.0866, 0.5355)
Tm (0.0866, 0.5355, 0.0866)
Tm (0.5355, 0.0866, 0.0866)

Computed properties:
**Calculated volume**: 32.9 Å³ per atom

Going by the energies, A is most stable and the next is 80 meV per atom up.

--- A ---
Pr12Er7Tm | PBE-GGA | relaxed

a = 8.8395 Å, b = 8.8395 Å, c = 8.8395 Å
α = 88.47°, β = 88.47°, γ = 88.47°
Fractional positions:
Pr (0.0133, 0.3587, 0.8909)
Pr (0.1091, 0.9867, 0.6414)
Pr (0.2264, 0.7579, 0.3535)
Pr (0.2421, 0.6465, 0.7736)
Pr (0.3535, 0.2264, 0.7579)
Pr (0.3587, 0.8909, 0.0133)
Pr (0.6414, 0.1091, 0.9867)
Pr (0.6465, 0.7736, 0.2421)
Pr (0.7579, 0.3535, 0.2264)
Pr (0.7736, 0.2421, 0.6465)
Pr (0.8909, 0.0133, 0.3587)
Pr (0.9867, 0.6414, 0.1091)
Er (0.0000, 0.0000, 0.0000)
Er (0.1160, 0.3554, 0.4341)
Er (0.3554, 0.4341, 0.1160)
Er (0.4341, 0.1160, 0.3554)
Er (0.5659, 0.8840, 0.6446)
Er (0.6446, 0.5659, 0.8840)
Er (0.8840, 0.6446, 0.5659)
Tm (0.5000, 0.5000, 0.5000)

Computed properties:
**Calculated volume**: 34.5 Å³ per atom

--- B ---
Pr12Er7Tm | PBE-GGA | relaxed

a = 11.5620 Å, b = 11.5620 Å, c = 11.5620 Å
α = 116.81°, β = 116.81°, γ = 116.81°
Fractional positions:
Pr (0.0000, 0.4120, 0.5880)
Pr (0.0000, 0.5880, 0.4120)
Pr (0.0824, 0.0824, 0.4343)
Pr (0.0824, 0.4343, 0.0824)
Pr (0.4120, 0.0000, 0.5880)
Pr (0.4120, 0.5880, 0.0000)
Pr (0.4343, 0.0824, 0.0824)
Pr (0.5657, 0.9176, 0.9176)
Pr (0.5880, 0.0000, 0.4120)
Pr (0.5880, 0.4120, 0.0000)
Pr (0.9176, 0.5657, 0.9176)
Pr (0.9176, 0.9176, 0.5657)
Er (0.0000, 0.0000, 0.0000)
Er (0.1344, 0.3774, 0.3774)
Er (0.3774, 0.1344, 0.3774)
Er (0.3774, 0.3774, 0.1344)
Er (0.6226, 0.6226, 0.8656)
Er (0.6226, 0.8656, 0.6226)
Er (0.8656, 0.6226, 0.6226)
Tm (0.5000, 0.5000, 0.5000)

Computed properties:
**Calculated volume**: 35.1 Å³ per atom

Going by the energies, B is most stable and the next is 9 meV per atom up.